# AlCo2Ni PBE relaxed
data_AlCo2Ni
_cell_length_a 8.525
_cell_length_b 2.644
_cell_length_c 4.202
_cell_angle_alpha 90.00
_cell_angle_beta 104.33
_cell_angle_gamma 90.00
_symmetry_space_group_name_H-M 'C 1 2/m 1'
_symmetry_Int_Tables_number 12
loop_
_symmetry_equiv_pos_as_xyz
'x,y,z'
'-x,-y,-z'
'-x,y,-z'
'x,-y,z'
'x+1/2,y+1/2,z'
'-x+1/2,-y+1/2,-z'
'-x+1/2,y+1/2,-z'
'x+1/2,-y+1/2,z'
loop_
_atom_site_label
_atom_site_type_symbol
_atom_site_fract_x
_atom_site_fract_y
_atom_site_fract_z
Al1 Al 0.000 0.000 0.000
Co1 Co 0.250 0.000 0.746
Ni1 Ni 0.000 0.500 0.500
# Energy (eV per atom): -6.144